Material: La2NpCoS5
Method: DFT, PBE
State: relaxed

Lattice parameters (Å, degrees): 8.5048 8.5048 12.1234 90.00 90.00 153.38
Fractional positions:
La: 0.1168 0.8832 0.5000
La: 0.1184 0.8816 0.8503
La: 0.8816 0.1184 0.3503
La: 0.8832 0.1168 0.0000
Np: 0.1788 0.8212 0.1784
Np: 0.8212 0.1788 0.6784
Co: 0.4463 0.5537 0.5758
Co: 0.5537 0.4463 0.0758
S: 0.0197 0.9803 0.1594
S: 0.3043 0.6957 0.8370
S: 0.3148 0.6852 0.5212
S: 0.3437 0.6563 0.1739
S: 0.4964 0.5036 0.9073
S: 0.5036 0.4964 0.4073
S: 0.6563 0.3437 0.6739
S: 0.6852 0.3148 0.0212
S: 0.6957 0.3043 0.3370
S: 0.9803 0.0197 0.6594

Computed properties:
Electronic total energy in eV per atom: -7.23
Space group: Cmc2_1, No. 36
Total magnetization in μB per formula unit: 1.93
ΔE_f (raw) in eV/atom: -1.61